No. 1
Material: Sc2In2HPd
Method: DFT, PBE-GGA
State: relaxed

Cell: 6.8093 5.4353 7.5748 Å, 111.02 116.71 90.00°
Element x y z (fractional)
Sc (0.7548, 0.0794, 0.1587)
Sc (0.4039, 0.5794, 0.1587)
Sc (0.5961, 0.4206, 0.8413)
Sc (0.2452, 0.9206, 0.8413)
In (0.3822, 0.1765, 0.3530)
In (0.6178, 0.8235, 0.6470)
In (0.0292, 0.3235, 0.6470)
In (0.9708, 0.6765, 0.3530)
H (0.5000, 0.7500, 0.0000)
H (0.5000, 0.2500, 0.0000)
Pd (0.0000, 0.7500, 0.0000)
Pd (0.0000, 0.2500, 0.0000)

Computed properties:
* total magnetic moment: 0.00 μB/f.u.
* VASP energy: -4.9116 eV/atom



No. 2
Material: ScInHPd2
Method: DFT, PBE-GGA
State: relaxed

Cell: 4.9460 5.5119 4.9460 Å, 90.00 90.00 90.00°
Element x y z (fractional)
Sc (0.0000, 0.5000, 0.0000)
H (0.5000, 0.5000, 0.5000)
Pd (0.0000, 0.0000, 0.5000)
Pd (0.5000, 0.0000, 0.0000)
In (0.0000, 0.0000, 0.0000)

Computed properties:
* E above lowest polymorph: 1.523 eV per atom
* total magnetic moment: 0.00 μB/f.u.



No. 3
Material: Sc2InHPd
Method: DFT, PBE-GGA
State: relaxed

Cell: 4.5522 4.5522 3.9601 Å, 90.00 90.00 90.00°
Element x y z (fractional)
Sc (0.0000, 0.5000, 0.0000)
Sc (0.5000, 0.0000, 0.0000)
H (0.0000, 0.0000, 0.0000)
Pd (0.0000, 0.0000, 0.5000)
In (0.5000, 0.5000, 0.5000)

Computed properties:
* total magnetic moment: 0.00 μB/f.u.
* VASP energy: -5.3592 eV/atom



No. 4
Material: ScInHPd2
Method: DFT, PBE-GGA
State: relaxed

Cell: 4.3183 4.3183 4.0030 Å, 90.00 90.00 90.00°
Element x y z (fractional)
Sc (0.0000, 0.0000, 0.5000)
H (0.0000, 0.0000, 0.0000)
Pd (0.0000, 0.5000, 0.0000)
Pd (0.5000, 0.0000, 0.0000)
In (0.5000, 0.5000, 0.5000)

Computed properties:
* E above lowest polymorph: 0.000 eV per atom
* total magnetic moment: 0.00 μB/f.u.



No. 5
Material: SrInHPd2
Method: DFT, PBE-GGA
State: relaxed

Cell: 4.0840 6.3609 7.6848 Å, 90.00 90.00 108.72°
Element x y z (fractional)
Sr (0.4546, 0.9092, 0.7500)
Sr (0.5454, 0.0908, 0.2500)
In (0.7307, 0.4614, 0.7500)
In (0.2693, 0.5386, 0.2500)
H (0.0000, 0.0000, 0.0000)
H (0.0000, 0.0000, 0.5000)
Pd (0.1466, 0.2932, 0.9488)
Pd (0.8534, 0.7068, 0.0512)
Pd (0.1466, 0.2932, 0.5512)
Pd (0.8534, 0.7068, 0.4488)

Computed properties:
* total magnetic moment: 0.00 μB/f.u.
* VASP energy: -4.1916 eV/atom



No. 6
Material: Sr2InHPd
Method: DFT, PBE-GGA
State: relaxed

Cell: 5.6422 5.6422 3.7701 Å, 90.00 90.00 90.00°
Element x y z (fractional)
Sr (0.0000, 0.5000, 0.0000)
Sr (0.5000, 0.0000, 0.0000)
H (0.0000, 0.0000, 0.0000)
Pd (0.0000, 0.0000, 0.5000)
In (0.5000, 0.5000, 0.5000)

Computed properties:
* total magnetic moment: 0.00 μB/f.u.
* VASP energy: -3.3791 eV/atom



No. 7
Material: InTe2H2Pd7
Method: DFT, PBE-GGA
State: relaxed

Cell: 4.0591 4.0591 11.5090 Å, 80.01 80.01 89.97°
Element x y z (fractional)
In (0.0000, 0.0000, 0.0000)
Te (0.8119, 0.8119, 0.3841)
Te (0.1881, 0.1881, 0.6159)
H (0.5881, 0.5881, 0.8277)
H (0.4119, 0.4119, 0.1723)
Pd (0.5000, 0.5000, 0.0000)
Pd (0.3201, 0.3201, 0.3717)
Pd (0.6799, 0.6799, 0.6283)
Pd (0.9098, 0.4098, 0.1845)
Pd (0.4098, 0.9098, 0.1845)
Pd (0.5902, 0.0902, 0.8155)
Pd (0.0902, 0.5902, 0.8155)

Computed properties:
* total magnetic moment: 0.00 μB/f.u.
* VASP energy: -4.6426 eV/atom



No. 8
Material: InTeHPd2
Method: DFT, PBE-GGA
State: relaxed

Cell: 5.1194 3.7000 5.1194 Å, 90.00 90.00 90.00°
Element x y z (fractional)
H (0.0000, 0.5000, 0.0000)
Te (0.0000, 0.0000, 0.0000)
Pd (0.0000, 0.0000, 0.5000)
Pd (0.5000, 0.0000, 0.0000)
In (0.5000, 0.5000, 0.5000)

Computed properties:
* total magnetic moment: 0.00 μB/f.u.
* VASP energy: -3.8673 eV/atom



No. 9
Material: TiInHPd2
Method: DFT, PBE-GGA
State: relaxed

Cell: 4.4923 4.4923 3.5080 Å, 90.00 90.00 90.00°
Element x y z (fractional)
H (0.0000, 0.0000, 0.0000)
Ti (0.0000, 0.0000, 0.5000)
Pd (0.0000, 0.5000, 0.0000)
Pd (0.5000, 0.0000, 0.0000)
In (0.5000, 0.5000, 0.5000)

Computed properties:
* total magnetic moment: 0.00 μB/f.u.
* VASP energy: -5.2037 eV/atom



No. 10
Material: TlIn2HPd
Method: DFT, PBE-GGA
State: relaxed

Cell: 5.5185 5.5185 3.5112 Å, 90.00 90.00 90.00°
Element x y z (fractional)
H (0.0000, 0.0000, 0.5000)
Tl (0.5000, 0.5000, 0.5000)
Pd (0.0000, 0.0000, 0.0000)
In (0.0000, 0.5000, 0.0000)
In (0.5000, 0.0000, 0.0000)

Computed properties:
* total magnetic moment: 0.00 μB/f.u.
* VASP energy: -3.2567 eV/atom



No. 11
Material: Tl3InH2Pd9
Method: DFT, PBE-GGA
State: relaxed

Cell: 5.7321 5.7321 9.0593 Å, 90.00 90.00 120.00°
Element x y z (fractional)
Tl (0.3333, 0.6667, 0.7077)
Tl (0.0000, 0.0000, 0.0000)
Tl (0.6667, 0.3333, 0.2923)
In (0.0000, 0.0000, 0.5000)
H (0.3333, 0.6667, 0.1309)
H (0.6667, 0.3333, 0.8691)
Pd (0.8328, 0.1672, 0.7379)
Pd (0.8328, 0.6656, 0.7379)
Pd (0.3344, 0.1672, 0.7379)
Pd (0.6656, 0.8328, 0.2621)
Pd (0.1672, 0.3344, 0.2621)
Pd (0.1672, 0.8328, 0.2621)
Pd (0.5000, 0.0000, 0.0000)
Pd (0.0000, 0.5000, 0.0000)
Pd (0.5000, 0.5000, 0.0000)

Computed properties:
* total magnetic moment: 0.00 μB/f.u.
* VASP energy: -4.4200 eV/atom



No. 12
Material: TlInHPd4
Method: DFT, PBE-GGA
State: relaxed

Cell: 5.6931 5.7002 7.5223 Å, 90.00 112.24 90.00°
Element x y z (fractional)
Tl (0.0963, 0.2500, 0.1926)
Tl (0.9037, 0.7500, 0.8074)
In (0.6026, 0.7500, 0.2052)
In (0.3974, 0.2500, 0.7948)
H (0.2465, 0.7500, 0.4930)
H (0.7535, 0.2500, 0.5070)
Pd (0.8995, 0.2500, 0.7989)
Pd (0.4075, 0.7500, 0.8151)
Pd (0.1005, 0.7500, 0.2011)
Pd (0.5925, 0.2500, 0.1849)
Pd (0.5000, 0.5000, 0.5000)
Pd (0.0000, 0.0000, 0.5000)
Pd (0.5000, 0.0000, 0.5000)
Pd (0.0000, 0.5000, 0.5000)

Computed properties:
* total magnetic moment: 0.00 μB/f.u.
* VASP energy: -4.4305 eV/atom



Please write out number 1 again, unchanged.
Material: Sc2In2HPd
Method: DFT, PBE-GGA
State: relaxed

Cell: 6.8093 5.4353 7.5748 Å, 111.02 116.71 90.00°
Element x y z (fractional)
Sc (0.7548, 0.0794, 0.1587)
Sc (0.4039, 0.5794, 0.1587)
Sc (0.5961, 0.4206, 0.8413)
Sc (0.2452, 0.9206, 0.8413)
In (0.3822, 0.1765, 0.3530)
In (0.6178, 0.8235, 0.6470)
In (0.0292, 0.3235, 0.6470)
In (0.9708, 0.6765, 0.3530)
H (0.5000, 0.7500, 0.0000)
H (0.5000, 0.2500, 0.0000)
Pd (0.0000, 0.7500, 0.0000)
Pd (0.0000, 0.2500, 0.0000)

Computed properties:
* total magnetic moment: 0.00 μB/f.u.
* VASP energy: -4.9116 eV/atom